Na2CePb3Se6: optimized geometry, PBE.

```
Na2CePb3Se6
1.0
3.7314 -6.4426 0.0000
3.7314 6.4426 0.0000
-2.4479 0.0000 7.1083
Na Ce Pb Se
2 1 3 6
Direct
0.1672 0.8328 0.0000
0.8328 0.1672 0.0000
0.5000 0.5000 0.0000
0.0000 0.0000 0.5000
0.3344 0.6656 0.5000
0.6656 0.3344 0.5000
0.1071 0.4207 0.7661
0.2659 0.2659 0.2456
0.4207 0.1071 0.7661
0.5793 0.8929 0.2339
0.7341 0.7341 0.7544
0.8929 0.5793 0.2339
```

As for the total magnetization: 0.000 μB per formula unit. As for the uncorrected energy: -4.3899 eV per atom. As for the mass density: 6.2 g/cm³.